(1)
This record from the Alexandria database describes an optimized crystal structure of Be2CdP. The functional is GGA-PBEsol.

Properties
Crystal system   orthorhombic
Formation energy   0.107 eV/atom
Calculated total energy   -3.640 eV/atom

a b c (Å): 3.438 3.430 5.491
angles (deg): 108.20 90.00 90.00
Fractional positions:
Be  0.000  0.240  0.479
P  0.500  0.119  0.239
Cd  0.000  0.921  0.841
Be  0.500  0.732  0.464

***

(2)
This record from the Alexandria database describes an optimized crystal structure of Be2CdP. The functional is GGA-PBEsol.

Properties
Crystal system   tetragonal
Formation energy   0.527 eV/atom
Calculated total energy   -3.220 eV/atom

a b c (Å): 3.503 3.503 5.055
angles (deg): 110.27 110.27 90.00
Fractional positions:
Cd  0.500  0.500  0.000
P  0.250  0.750  0.500
Be  0.000  0.000  0.000
Be  0.750  0.250  0.500

***

(3)
This record from the Alexandria database describes an optimized crystal structure of Be2CdP. The functional is GGA-PBEsol.

Properties
Crystal system   trigonal
Formation energy   0.460 eV/atom
Calculated total energy   -3.287 eV/atom

a b c (Å): 2.702 2.702 9.068
angles (deg): 81.43 81.43 60.00
Fractional positions:
Be  0.734  0.734  0.797
Cd  0.489  0.489  0.534
Be  0.004  0.004  0.989
P  0.273  0.273  0.180

***

(4)
This record from the Alexandria database describes an optimized crystal structure of BeCd2P. The functional is GGA-PBEsol.

Properties
Crystal system   orthorhombic
Formation energy   0.488 eV/atom
Calculated total energy   -2.558 eV/atom

a b c (Å): 3.987 4.038 4.219
angles (deg): 90.00 90.00 90.00
Fractional positions:
P  0.500  0.500  0.000
Cd  0.000  0.000  0.000
Be  0.500  0.000  0.500
Cd  0.000  0.500  0.500

***

(5)
This record from the Alexandria database describes an optimized crystal structure of Be2CdP. The functional is GGA-PBEsol.

Properties
Crystal system   orthorhombic
Formation energy   0.501 eV/atom
Calculated total energy   -3.247 eV/atom

a b c (Å): 3.327 4.604 4.604
angles (deg): 60.15 68.82 68.82
Fractional positions:
Be  0.293  0.707  0.707
Be  0.707  0.293  0.293
Cd  0.500  0.000  0.000
P  0.000  0.500  0.500

***

(6)
This record from the Alexandria database describes an optimized crystal structure of BeCdPS2. The functional is GGA-PBEsol.

Properties
Crystal system   tetragonal
Formation energy without anion corrections   0.3257 eV per atom
Calculated total energy   -3.626 eV/atom

a b c (Å): 4.020 4.544 4.544
angles (deg): 90.00 90.00 90.00
Fractional positions:
Be  0.000  0.000  0.000
S  0.000  0.500  0.000
S  0.000  0.000  0.500
Cd  0.500  0.500  0.500
P  0.500  0.000  0.000

***

(7)
This record from the Alexandria database describes an optimized crystal structure of BeCdP2S. The functional is GGA-PBEsol.

Properties
Crystal system   tetragonal
Formation energy without anion corrections   1.5699 eV per atom
Calculated total energy   -2.663 eV/atom

a b c (Å): 4.849 4.849 4.884
angles (deg): 90.00 90.00 90.00
Fractional positions:
P  0.500  0.000  0.000
Cd  0.000  0.000  0.000
S  0.000  0.000  0.500
Be  0.500  0.500  0.500
P  0.000  0.500  0.000

***

(8)
This record from the Alexandria database describes an optimized crystal structure of BeCdPb4. The functional is GGA-PBEsol.

Properties
Crystal system   cubic
Formation energy   0.676 eV/atom
Calculated total energy   -2.856 eV/atom

a b c (Å): 6.304 6.304 6.304
angles (deg): 60.00 60.00 60.00
Fractional positions:
Pb  0.874  0.375  0.375
Pb  0.375  0.874  0.375
Pb  0.375  0.375  0.874
Cd  0.000  0.000  0.000
Be  0.750  0.750  0.750
Pb  0.375  0.375  0.375